[1]
The following is a PBE calculation of a relaxed structure of Pu3Si8Os3, from Alexandria.

V = 459 Å³ per cell
Formation energy (no corrections) = -8.81 kcal/mol of atoms

```
data_Pu3Si8Os3
_chemical_formula_sum 'Pu6 Si16 Os6'
_cell_length_a 4.114
_cell_length_b 9.696
_cell_length_c 11.518
_cell_angle_alpha 90.00
_cell_angle_beta 90.00
_cell_angle_gamma 90.00
_symmetry_space_group_name_H-M 'I m m m'
_symmetry_Int_Tables_number 71
_symmetry_space_group_name_Hall '-I 2 2'
loop_
_atom_site_label
_atom_site_type_symbol
_atom_site_fract_x
_atom_site_fract_y
_atom_site_fract_z
_atom_site_occupancy
Pu1 Pu 0.000 0.000 0.000 1
Pu2 Pu 0.000 0.000 0.312 1
Si1 Si 0.000 0.284 0.124 1
Si2 Si 0.000 0.371 0.333 1
Os1 Os 0.000 0.221 0.500 1
Os2 Os 0.000 0.500 0.000 1
```

[2]
The following is a PBE calculation of a relaxed structure of PuSi3Os3, from Alexandria.

V = 280 Å³ per cell
Formation energy (no corrections) = 4.13 kcal/mol of atoms

```
data_PuSi3Os3
_chemical_formula_sum 'Pu2 Si6 Os6'
_cell_length_a 6.540
_cell_length_b 6.540
_cell_length_c 6.540
_cell_angle_alpha 90.00
_cell_angle_beta 90.00
_cell_angle_gamma 90.00
_symmetry_space_group_name_H-M 'P m -3 n'
_symmetry_Int_Tables_number 223
_symmetry_space_group_name_Hall '-P 4n 2 3'
loop_
_atom_site_label
_atom_site_type_symbol
_atom_site_fract_x
_atom_site_fract_y
_atom_site_fract_z
_atom_site_occupancy
Pu1 Pu 0.000 0.000 0.000 1
Si1 Si 0.000 0.250 0.500 1
Os1 Os 0.000 0.500 0.250 1
```

[3]
The following is a PBE calculation of a relaxed structure of Pu3SiOs, from Alexandria.

V = 206 Å³ per cell
Formation energy (no corrections) = -3.38 kcal/mol of atoms

```
data_Pu3SiOs
_chemical_formula_sum 'Pu6 Si2 Os2'
_cell_length_a 6.549
_cell_length_b 4.692
_cell_length_c 6.720
_cell_angle_alpha 90.00
_cell_angle_beta 90.01
_cell_angle_gamma 90.00
_symmetry_space_group_name_H-M 'P 1 21/m 1'
_symmetry_Int_Tables_number 11
_symmetry_space_group_name_Hall '-P 2yb'
loop_
_atom_site_label
_atom_site_type_symbol
_atom_site_fract_x
_atom_site_fract_y
_atom_site_fract_z
_atom_site_occupancy
Pu1 Pu 0.218 0.250 0.251 1
Pu2 Pu 0.269 0.750 0.540 1
Pu3 Pu 0.270 0.750 0.960 1
Si1 Si 0.064 0.250 0.750 1
Os1 Os 0.440 0.250 0.750 1
```

[4]
The following is a PBE calculation of a relaxed structure of PuSi3Os, from Alexandria.

V = 342 Å³ per cell
Formation energy (no corrections) = -10.30 kcal/mol of atoms

```
data_PuSi3Os
_chemical_formula_sum 'Pu4 Si12 Os4'
_cell_length_a 7.941
_cell_length_b 4.036
_cell_length_c 10.674
_cell_angle_alpha 90.00
_cell_angle_beta 90.00
_cell_angle_gamma 90.00
_symmetry_space_group_name_H-M 'P n m a'
_symmetry_Int_Tables_number 62
_symmetry_space_group_name_Hall '-P 2ac 2n'
loop_
_atom_site_label
_atom_site_type_symbol
_atom_site_fract_x
_atom_site_fract_y
_atom_site_fract_z
_atom_site_occupancy
Pu1 Pu 0.185 0.250 0.025 1
Si1 Si 0.059 0.250 0.574 1
Si2 Si 0.118 0.750 0.211 1
Si3 Si 0.121 0.750 0.823 1
Os1 Os 0.082 0.250 0.342 1
```

[5]
The following is a PBE calculation of a relaxed structure of Pu8Si2Os, from Alexandria.

V = 448 Å³ per cell
Formation energy (no corrections) = -3.12 kcal/mol of atoms

```
data_Pu8Si2Os
_chemical_formula_sum 'Pu16 Si4 Os2'
_cell_length_a 14.654
_cell_length_b 5.077
_cell_length_c 6.491
_cell_angle_alpha 90.00
_cell_angle_beta 111.81
_cell_angle_gamma 90.00
_symmetry_space_group_name_H-M 'C 1 2/m 1'
_symmetry_Int_Tables_number 12
_symmetry_space_group_name_Hall '-C 2y'
loop_
_atom_site_label
_atom_site_type_symbol
_atom_site_fract_x
_atom_site_fract_y
_atom_site_fract_z
_atom_site_occupancy
Pu1 Pu 0.001 0.000 0.268 1
Pu2 Pu 0.117 0.500 0.450 1
Pu3 Pu 0.151 0.500 0.857 1
Pu4 Pu 0.160 0.000 0.167 1
Si1 Si 0.199 0.000 0.676 1
Os1 Os 0.000 0.500 0.000 1
```

[6]
The following is a PBE calculation of a relaxed structure of Pu3Si2Os, from Alexandria.

V = 451 Å³ per cell
Formation energy (no corrections) = -8.80 kcal/mol of atoms

```
data_Pu3Si2Os
_chemical_formula_sum 'Pu12 Si8 Os4'
_cell_length_a 11.307
_cell_length_b 4.460
_cell_length_c 8.944
_cell_angle_alpha 90.00
_cell_angle_beta 90.00
_cell_angle_gamma 90.00
_symmetry_space_group_name_H-M 'P n m a'
_symmetry_Int_Tables_number 62
_symmetry_space_group_name_Hall '-P 2ac 2n'
loop_
_atom_site_label
_atom_site_type_symbol
_atom_site_fract_x
_atom_site_fract_y
_atom_site_fract_z
_atom_site_occupancy
Pu1 Pu 0.052 0.250 0.101 1
Pu2 Pu 0.172 0.750 0.627 1
Pu3 Pu 0.236 0.250 0.768 1
Si1 Si 0.014 0.750 0.323 1
Si2 Si 0.203 0.750 0.962 1
Os1 Os 0.081 0.250 0.429 1
```

What is the V in the sixth record?
451 Å³ per cell

Repeat the fifth record exactly.
The following is a PBE calculation of a relaxed structure of Pu8Si2Os, from Alexandria.

V = 448 Å³ per cell
Formation energy (no corrections) = -3.12 kcal/mol of atoms

```
data_Pu8Si2Os
_chemical_formula_sum 'Pu16 Si4 Os2'
_cell_length_a 14.654
_cell_length_b 5.077
_cell_length_c 6.491
_cell_angle_alpha 90.00
_cell_angle_beta 111.81
_cell_angle_gamma 90.00
_symmetry_space_group_name_H-M 'C 1 2/m 1'
_symmetry_Int_Tables_number 12
_symmetry_space_group_name_Hall '-C 2y'
loop_
_atom_site_label
_atom_site_type_symbol
_atom_site_fract_x
_atom_site_fract_y
_atom_site_fract_z
_atom_site_occupancy
Pu1 Pu 0.001 0.000 0.268 1
Pu2 Pu 0.117 0.500 0.450 1
Pu3 Pu 0.151 0.500 0.857 1
Pu4 Pu 0.160 0.000 0.167 1
Si1 Si 0.199 0.000 0.676 1
Os1 Os 0.000 0.500 0.000 1
```